No. 1
Na2LiMoOs PBE-GGA relaxed; energy of formation from the pure elements = 126 kJ per mole of atoms; symmetry = No. 123; DOS at the Fermi energy = 3.11 states/eV/f.u.; calculated volume = 15.9 A^3/atom; magnetization = 0.0 μB/cell
1.0
3.986 0.000 0.000
0.000 3.986 0.000
0.000 0.000 4.999
Na Li Mo Os
2 1 1 1
direct
0.000 0.500 0.000
0.500 0.000 0.000
0.000 0.000 0.000
0.500 0.500 0.500
0.000 0.000 0.500

***

No. 2
NaLi2MoPd PBE-GGA relaxed; energy of formation from the pure elements = 59 kJ per mole of atoms; symmetry = No. 123; DOS at the Fermi energy = 2.36 states/eV/f.u.; calculated volume = 23.7 A^3/atom; magnetization = 3.0 μB/cell
1.0
4.918 0.000 0.000
0.000 4.918 0.000
0.000 0.000 4.907
Na Li Mo Pd
1 2 1 1
direct
0.000 0.000 0.000
0.000 0.500 0.500
0.500 0.000 0.500
0.500 0.500 0.000
0.500 0.500 0.500

***

No. 3
NaLiMoRu2 PBE-GGA relaxed; energy of formation from the pure elements = 147 kJ per mole of atoms; symmetry = No. 123; DOS at the Fermi energy = 2.54 states/eV/f.u.; calculated volume = 14.7 A^3/atom; magnetization = 0.0 μB/cell
1.0
4.662 0.000 0.000
0.000 4.662 0.000
0.000 0.000 3.379
Na Li Mo Ru
1 1 1 2
direct
0.000 0.000 0.000
0.000 0.000 0.500
0.500 0.500 0.500
0.000 0.500 0.000
0.500 0.000 0.000